# 1
Below is Zr4CdPN2 after structural relaxation, with properties calculated at the PBE level.

Cell lengths 3.3602, 3.3602, 13.4594 Å; angles 90.00, 90.00, 120.00 degrees
With the nearest neighbours (Å) after each atom.
Space group P-6m2 (No. 187)
One atom of each set of equivalent atoms:
Zr 0.0000 0.0000 0.1339 (multiplicity 2)  3 N 2.34
Zr 0.3333 0.6667 0.3173 (multiplicity 2)  3 N 2.26
Cd 0.0000 0.0000 0.5000 (multiplicity 1)  6 Zr 3.13, 6 Cd 3.36
P 0.3333 0.6667 0.0000 (multiplicity 1)  6 Zr 2.65
N 0.6667 0.3333 0.2306 (multiplicity 2)  6 Zr 2.26-2.34

Results
**E**: -8.350 eV/atom


# 2
Below is Sc4CdPbN2 after structural relaxation, with properties calculated at the PBE level.

Cell lengths 3.2842, 3.2842, 14.8471 Å; angles 90.00, 90.00, 120.00 degrees
With the nearest neighbours (Å) after each atom.
Space group P-6m2 (No. 187)
One atom of each set of equivalent atoms:
Sc 0.0000 0.0000 0.1689 (multiplicity 2)  3 N 2.26
Sc 0.6667 0.3333 0.3297 (multiplicity 2)  3 N 2.22
Cd 0.6667 0.3333 0.0000 (multiplicity 1)  6 Sc 3.14, 6 Cd 3.28
Pb 0.0000 0.0000 0.5000 (multiplicity 1)  6 Sc 3.16, 6 Pb 3.28
N 0.3333 0.6667 0.2518 (multiplicity 2)  6 Sc 2.22-2.26

Results
**E**: -6.934 eV/atom


# 3
Below is Ta4CdPbN2 after structural relaxation, with properties calculated at the PBE level.

Cell lengths 3.2021, 3.2021, 14.2608 Å; angles 90.00, 90.00, 120.00 degrees
With the nearest neighbours (Å) after each atom.
Space group P-6m2 (No. 187)
One atom of each set of equivalent atoms:
Ta 0.0000 0.0000 0.1687 (multiplicity 2)  3 N 2.17
Ta 0.6667 0.3333 0.3285 (multiplicity 2)  3 N 2.18
Cd 0.6667 0.3333 0.0000 (multiplicity 1)  6 Ta 3.03, 6 Cd 3.20
Pb 0.0000 0.0000 0.5000 (multiplicity 1)  6 Ta 3.07, 6 Pb 3.20
N 0.3333 0.6667 0.2481 (multiplicity 2)  6 Ta 2.17-2.18

Results
**E**: -8.850 eV/atom


# 4
Below is Y4CdPbN2 after structural relaxation, with properties calculated at the PBE level.

Cell lengths 3.5365, 3.5365, 15.7150 Å; angles 90.00, 90.00, 120.00 degrees
With the nearest neighbours (Å) after each atom.
Space group P-6m2 (No. 187)
One atom of each set of equivalent atoms:
Y 0.0000 0.0000 0.1634 (multiplicity 2)  3 N 2.47
Y 0.3333 0.6667 0.3325 (multiplicity 2)  3 N 2.41
Cd 0.3333 0.6667 0.0000 (multiplicity 1)  6 Y 3.28, 6 Cd 3.54
Pb 0.0000 0.0000 0.5000 (multiplicity 1)  6 Y 3.33, 6 Pb 3.54
N 0.6667 0.3333 0.2513 (multiplicity 2)  6 Y 2.41-2.47

Results
**E**: -6.896 eV/atom


# 5
Below is Zr4CdPbN2 after structural relaxation, with properties calculated at the PBE level.

Cell lengths 3.3298, 3.3298, 14.8762 Å; angles 90.00, 90.00, 120.00 degrees
With the nearest neighbours (Å) after each atom.
Space group P-6m2 (No. 187)
One atom of each set of equivalent atoms:
Zr 0.0000 0.0000 0.1667 (multiplicity 2)  3 N 2.26
Zr 0.6667 0.3333 0.3320 (multiplicity 2)  3 N 2.31
Cd 0.6667 0.3333 0.0000 (multiplicity 1)  6 Zr 3.14, 6 Cd 3.33
Pb 0.0000 0.0000 0.5000 (multiplicity 1)  6 Zr 3.15, 6 Pb 3.33
N 0.3333 0.6667 0.2465 (multiplicity 2)  6 Zr 2.26-2.31

Results
**E**: -7.890 eV/atom


# 6
Below is CdPd3N6 after structural relaxation, with properties calculated at the PBE level.

Cell lengths 6.5404, 11.4559, 3.2532 Å; angles 90.00, 90.00, 90.00 degrees
With the nearest neighbours (Å) after each atom.
Space group Cmmm (No. 65)
One atom of each set of equivalent atoms:
Cd 0.0000 0.0000 0.0000 (multiplicity 2)  4 N 2.23
Pd 0.0000 0.5000 0.0000 (multiplicity 2)  4 N 2.06
Pd 0.2500 0.2500 0.5000 (multiplicity 4)  6 N 2.11
N 0.0000 0.1332 0.5000 (multiplicity 4)  2 Pd 2.11, 2 Cd 2.23
N 0.0973 0.3287 0.0000 (multiplicity 8)  1 N 1.27

Results
**E**: -5.847 eV/atom


# 7
Below is CdPdPt2N6 after structural relaxation, with properties calculated at the PBE level.

Cell lengths 6.5567, 11.2378, 3.2318 Å; angles 90.00, 90.00, 90.00 degrees
With the nearest neighbours (Å) after each atom.
Space group Cmmm (No. 65)
One atom of each set of equivalent atoms:
Cd 0.0000 0.0000 0.0000 (multiplicity 2)  4 N 2.23
Pd 0.0000 0.5000 0.0000 (multiplicity 2)  4 N 2.05
Pt 0.2500 0.2500 0.5000 (multiplicity 4)  6 N 2.08
N 0.0000 0.1365 0.5000 (multiplicity 4)  2 Pt 2.08, 2 Cd 2.23
N 0.1024 0.3278 0.0000 (multiplicity 8)  1 N 1.34

Results
**E**: -6.105 eV/atom


# 8
Below is Sc4CdSN2 after structural relaxation, with properties calculated at the PBE level.

Cell lengths 3.2997, 3.2997, 13.3435 Å; angles 90.00, 90.00, 120.00 degrees
With the nearest neighbours (Å) after each atom.
Space group P-6m2 (No. 187)
One atom of each set of equivalent atoms:
Sc 0.0000 0.0000 0.1327 (multiplicity 2)  3 N 2.25
Sc 0.6667 0.3333 0.3133 (multiplicity 2)  3 N 2.26
Cd 0.0000 0.0000 0.5000 (multiplicity 1)  6 Sc 3.14, 6 Cd 3.30
S 0.6667 0.3333 0.0000 (multiplicity 1)  6 Sc 2.60
N 0.3333 0.6667 0.2227 (multiplicity 2)  6 Sc 2.25-2.26

Results
**E**: -7.340 eV/atom


# 9
Below is Ta4CdSN2 after structural relaxation, with properties calculated at the PBE level.

Cell lengths 3.0547, 3.0547, 13.9147 Å; angles 90.00, 90.00, 120.00 degrees
With the nearest neighbours (Å) after each atom.
Space group P-6m2 (No. 187)
One atom of each set of equivalent atoms:
Ta 0.0000 0.0000 0.1308 (multiplicity 2)  3 N 2.23
Ta 0.6667 0.3333 0.3223 (multiplicity 2)  3 N 2.19
Cd 0.0000 0.0000 0.5000 (multiplicity 1)  6 Ta 3.04, 6 Cd 3.05
S 0.6667 0.3333 0.0000 (multiplicity 1)  6 Ta 2.53
N 0.3333 0.6667 0.2284 (multiplicity 2)  6 Ta 2.19-2.23

Results
**E**: -9.173 eV/atom


# 10
Below is Ta4CdSN2 after structural relaxation, with properties calculated at the PBE level.

Cell lengths 3.0546, 3.0546, 13.9121 Å; angles 90.00, 90.00, 120.00 degrees
With the nearest neighbours (Å) after each atom.
Space group P-6m2 (No. 187)
One atom of each set of equivalent atoms:
Ta 0.0000 0.0000 0.1308 (multiplicity 2)  3 N 2.23
Ta 0.3333 0.6667 0.3223 (multiplicity 2)  3 N 2.19
Cd 0.0000 0.0000 0.5000 (multiplicity 1)  6 Ta 3.04, 6 Cd 3.05
S 0.3333 0.6667 0.0000 (multiplicity 1)  6 Ta 2.53
N 0.6667 0.3333 0.2284 (multiplicity 2)  6 Ta 2.19-2.23

Results
**E**: -9.173 eV/atom


# 11
Below is CdW4SN2 after structural relaxation, with properties calculated at the PBE level.

Cell lengths 2.8919, 2.8919, 14.5358 Å; angles 90.00, 90.00, 120.00 degrees
With the nearest neighbours (Å) after each atom.
Space group P-6m2 (No. 187)
One atom of each set of equivalent atoms:
Cd 0.0000 0.0000 0.0000 (multiplicity 1)  6 Cd 2.89, 6 W 3.00
W 0.0000 0.0000 0.3694 (multiplicity 2)  3 N 2.23
W 0.3333 0.6667 0.1713 (multiplicity 2)  3 N 2.18
S 0.3333 0.6667 0.5000 (multiplicity 1)  6 W 2.53
N 0.6667 0.3333 0.2674 (multiplicity 2)  6 W 2.18-2.23

Results
**E**: -8.944 eV/atom


# 12
Below is Y4CdSN2 after structural relaxation, with properties calculated at the PBE level.

Cell lengths 3.5692, 3.5692, 14.1856 Å; angles 90.00, 90.00, 120.00 degrees
With the nearest neighbours (Å) after each atom.
Space group P-6m2 (No. 187)
One atom of each set of equivalent atoms:
Y 0.0000 0.0000 0.1330 (multiplicity 2)  3 N 2.43
Y 0.3333 0.6667 0.3205 (multiplicity 2)  3 N 2.48
Cd 0.0000 0.0000 0.5000 (multiplicity 1)  6 Y 3.28, 6 Cd 3.57
S 0.3333 0.6667 0.0000 (multiplicity 1)  6 Y 2.79
N 0.6667 0.3333 0.2233 (multiplicity 2)  6 Y 2.43-2.48

Results
**E**: -7.315 eV/atom